This record from OQMD via LeMat-Bulk describes a relaxed CsSmHgTe3 crystal. The functional is PBE-GGA.

The energy relative to the lowest polymorph listed for this composition is 1 meV/atom. As for the mass density: 6.156 g/cm³.

Lattice parameters (Å, degrees): 11.981 4.587 17.015 90.00 90.00 90.00
Atoms (fractional coordinates):
Cs  0.243  0.250  0.000
Cs  0.257  0.750  0.500
Cs  0.743  0.250  0.500
Cs  0.757  0.750  0.000
Sm  0.007  0.750  0.251
Sm  0.493  0.250  0.751
Sm  0.507  0.750  0.249
Sm  0.993  0.250  0.749
Hg  0.246  0.750  0.793
Hg  0.254  0.250  0.293
Hg  0.746  0.750  0.707
Hg  0.754  0.250  0.207
Te  0.040  0.750  0.874
Te  0.051  0.250  0.377
Te  0.244  0.250  0.685
Te  0.256  0.750  0.185
Te  0.449  0.750  0.877
Te  0.460  0.250  0.374
Te  0.540  0.750  0.626
Te  0.551  0.250  0.123
Te  0.744  0.250  0.815
Te  0.756  0.750  0.315
Te  0.949  0.750  0.623
Te  0.960  0.250  0.126

***

This record from OQMD via LeMat-Bulk describes a relaxed CsSnHg3Te4 crystal. The functional is PBE-GGA.

Its uncorrected energy is -20.04 eV/f.u. As for the mass density: 5.428 g/cm³.

Lattice parameters (Å, degrees): 7.472 7.472 7.472 90.00 90.00 90.00
Atoms (fractional coordinates):
Cs  0.000  0.000  0.000
Sn  0.500  0.500  0.500
Hg  0.000  0.500  0.500
Hg  0.500  0.000  0.500
Hg  0.500  0.500  0.000
Te  0.280  0.280  0.280
Te  0.280  0.720  0.720
Te  0.720  0.280  0.720
Te  0.720  0.720  0.280

***

This record from OQMD via LeMat-Bulk describes a relaxed CsSrHg crystal. The functional is PBE-GGA.

The energy relative to the lowest polymorph listed for this composition is 0 meV/atom. As for the mass density: 4.455 g/cm³.

Lattice parameters (Å, degrees): 8.563 8.563 8.563 90.00 90.00 90.00
Atoms (fractional coordinates):
Cs  0.000  0.000  0.000
Cs  0.000  0.500  0.500
Cs  0.500  0.000  0.500
Cs  0.500  0.500  0.000
Sr  0.000  0.000  0.500
Sr  0.000  0.500  0.000
Sr  0.500  0.000  0.000
Sr  0.500  0.500  0.500
Hg  0.250  0.250  0.250
Hg  0.250  0.750  0.750
Hg  0.750  0.250  0.750
Hg  0.750  0.750  0.250